1.
VASP calculation (PBE) on a relaxed structure of Er4SbRh.

Cell lengths 4.0491, 8.0507, 18.9679 Å; angles 90.00, 90.00, 90.00 degrees
Element x y z (fractional)
Rh (0.2500, 0.2557, 0.9504)
Rh (0.7500, 0.2443, 0.4504)
Rh (0.7500, 0.7443, 0.0496)
Rh (0.2500, 0.7557, 0.5496)
Er (0.2500, 0.0020, 0.0680)
Er (0.2500, 0.1403, 0.3543)
Er (0.2500, 0.0393, 0.7843)
Er (0.7500, 0.4607, 0.2843)
Er (0.7500, 0.8579, 0.4477)
Er (0.7500, 0.3579, 0.0523)
Er (0.2500, 0.5393, 0.7157)
Er (0.2500, 0.6403, 0.1457)
Er (0.7500, 0.3597, 0.8543)
Er (0.7500, 0.9607, 0.2157)
Er (0.2500, 0.6421, 0.9477)
Er (0.2500, 0.1421, 0.5523)
Er (0.7500, 0.4980, 0.5680)
Er (0.2500, 0.5020, 0.4320)
Er (0.7500, 0.9980, 0.9320)
Er (0.7500, 0.8597, 0.6457)
Sb (0.2500, 0.7611, 0.3103)
Sb (0.2500, 0.2611, 0.1897)
Sb (0.7500, 0.2389, 0.6897)
Sb (0.7500, 0.7389, 0.8103)

Output
* distance to the lowest polymorph of the same formula: 0 meV/atom
* mass density: 9.60 g/cm3
* DOS(E_F): 26.0 states/eV/cell
* E_form (uncorrected): -731 meV/atom



2.
VASP calculation (PBE) on a relaxed structure of Cd2TcHRh.

Cell lengths 4.6893, 4.6893, 3.3439 Å; angles 90.00, 90.00, 90.00 degrees
Each line ends with the local moment (μB).
Element x y z (fractional)
Tc (0.5000, 0.5000, 0.5000)  1.71
Cd (0.5000, 0.0000, 0.0000)  0.00
Cd (0.0000, 0.5000, 0.0000)  0.00
Rh (0.0000, 0.0000, 0.5000)  0.18
H (0.0000, 0.0000, 0.0000)  0.00

Output
* distance to the lowest polymorph of the same formula: 0 meV/atom
* mass density: 9.64 g/cm3
* DOS(E_F): 3.9 states/eV/cell



3.
VASP calculation (PBE) on a relaxed structure of Hf2Ga6Pd.

Cell lengths 3.1782, 7.1275, 8.0397 Å; angles 116.31, 90.00, 90.00 degrees
Element x y z (fractional)
Ga (0.5000, 0.3035, 0.0000)
Ga (0.0001, 0.6594, 0.6846)
Ga (0.9999, 0.9748, 0.3154)
Ga (0.9999, 0.3406, 0.3154)
Ga (0.0001, 0.0252, 0.6846)
Ga (0.5000, 0.6965, 0.0000)
Hf (0.5000, 0.3059, 0.6117)
Hf (0.5000, 0.6941, 0.3883)
Pd (0.0000, 0.0000, 0.0000)

Output
* energy of formation from the pure elements: -0.285 eV per atom
* mass density: 8.97 g/cm3
* DOS(E_F): 3.1 states/eV/cell



4.
VASP calculation (PBE) on a relaxed structure of Li6In12Ge.

Cell lengths 7.5658, 7.5658, 7.5658 Å; angles 88.04, 88.04, 88.04 degrees
Element x y z (fractional)
In (0.6305, 0.9846, 0.8433)
In (0.5651, 0.2057, 0.4545)
In (0.2057, 0.4545, 0.5651)
In (0.9846, 0.8433, 0.6305)
In (0.4349, 0.7943, 0.5455)
In (0.4545, 0.5651, 0.2057)
In (0.0154, 0.1567, 0.3695)
In (0.5455, 0.4349, 0.7943)
In (0.8433, 0.6305, 0.9846)
In (0.3695, 0.0154, 0.1567)
In (0.1567, 0.3695, 0.0154)
In (0.7943, 0.5455, 0.4349)
Ge (0.0000, 0.0000, 0.0000)
Li (0.7385, 0.2633, 0.1019)
Li (0.1019, 0.7385, 0.2633)
Li (0.7367, 0.8981, 0.2615)
Li (0.8981, 0.2615, 0.7367)
Li (0.2633, 0.1019, 0.7385)
Li (0.2615, 0.7367, 0.8981)

Output
* energy of formation from the pure elements: -0.139 eV per atom
* mass density: 5.73 g/cm3
* DOS(E_F): 7.8 states/eV/cell



5.
VASP calculation (PBE) on a relaxed structure of YGaGe2.

Cell lengths 4.3395, 4.3015, 4.3015 Å; angles 90.00, 90.00, 90.00 degrees
Element x y z (fractional)
Y (0.5000, 0.0000, 0.0000)
Ge (0.0000, 0.5000, 0.0000)
Ge (0.0000, 0.0000, 0.5000)
Ga (0.5000, 0.5000, 0.5000)

Output
* energy of formation from the pure elements: -0.454 eV per atom
* mass density: 6.29 g/cm3
* DOS(E_F): 1.0 states/eV/cell



6.
VASP calculation (PBE) on a relaxed structure of Li2AcY.

Cell lengths 5.5264, 5.5264, 5.5264 Å; angles 60.00, 60.00, 60.00 degrees
Element x y z (fractional)
Li (0.7500, 0.7500, 0.7500)
Li (0.2500, 0.2500, 0.2500)
Ac (0.0000, 0.0000, 0.0000)
Y (0.5000, 0.5000, 0.5000)

Output
* distance to the lowest polymorph of the same formula: 20 meV/atom
* energy of formation from the pure elements: 0.147 eV per atom
* mass density: 4.59 g/cm3
* DOS(E_F): 5.8 states/eV/cell